No. 1
# LaAlW2 (PBE, optimized geometry)
data_LaAlW2
_symmetry_space_group_name_H-M 'I m m 2'
_symmetry_Int_Tables_number 44
_cell_length_a 3.353
_cell_length_b 4.938
_cell_length_c 10.008
_cell_angle_alpha 90.00
_cell_angle_beta 90.00
_cell_angle_gamma 90.00
loop_
_symmetry_equiv_pos_as_xyz
'x,y,z'
'-x,-y,z'
'-x,y,z'
'x,-y,z'
'x+1/2,y+1/2,z+1/2'
'-x+1/2,-y+1/2,z+1/2'
'-x+1/2,y+1/2,z+1/2'
'x+1/2,-y+1/2,z+1/2'
loop_
_atom_site_label
_atom_site_type_symbol
_atom_site_fract_x
_atom_site_fract_y
_atom_site_fract_z
La1 La 0.000 0.000 0.000
Al1 Al 0.000 0.500 0.214
W1 W 0.000 0.000 0.456
W2 W 0.000 0.500 0.768
# calculated volume = 166 Å³ per cell
# VASP energy = -8.1072 eV/atom
# formation enthalpy at 0 K = 0.54 eV per atom

---

No. 2
# LaAl2W (PBE, optimized geometry)
data_LaAl2W
_symmetry_space_group_name_H-M 'P m m m'
_symmetry_Int_Tables_number 47
_cell_length_a 2.929
_cell_length_b 3.606
_cell_length_c 7.606
_cell_angle_alpha 90.00
_cell_angle_beta 90.00
_cell_angle_gamma 90.00
loop_
_symmetry_equiv_pos_as_xyz
'x,y,z'
'-x,-y,-z'
'-x,-y,z'
'x,y,-z'
'x,-y,-z'
'-x,y,z'
'-x,y,-z'
'x,-y,z'
loop_
_atom_site_label
_atom_site_type_symbol
_atom_site_fract_x
_atom_site_fract_y
_atom_site_fract_z
La1 La 0.000 0.000 0.000
Al1 Al 0.500 0.500 0.309
W1 W 0.000 0.000 0.500
# calculated volume = 80 Å³ per cell
# polymorph energy (0 for the lowest one) = 0 meV per atom
# VASP energy = -6.3598 eV/atom
# formation enthalpy at 0 K = -0.02 eV per atom

---

No. 3
# LaAlW2 (PBE, optimized geometry)
data_LaAlW2
_symmetry_space_group_name_H-M 'P 1 m 1'
_symmetry_Int_Tables_number 6
_cell_length_a 3.263
_cell_length_b 3.267
_cell_length_c 7.647
_cell_angle_alpha 90.00
_cell_angle_beta 90.07
_cell_angle_gamma 90.00
loop_
_symmetry_equiv_pos_as_xyz
'x,y,z'
'x,-y,z'
loop_
_atom_site_label
_atom_site_type_symbol
_atom_site_fract_x
_atom_site_fract_y
_atom_site_fract_z
La1 La 0.000 0.000 0.000
Al1 Al 0.500 0.500 0.674
W1 W 0.000 0.000 0.473
W2 W 0.500 0.500 0.299
# calculated volume = 82 Å³ per cell
# VASP energy = -8.5225 eV/atom
# formation enthalpy at 0 K = 0.12 eV per atom

---

No. 4
# LaAlW2 (PBE, optimized geometry)
data_LaAlW2
_symmetry_space_group_name_H-M 'P 4/m m m'
_symmetry_Int_Tables_number 123
_symmetry_space_group_name_Hall '-P 4 2'
_cell_length_a 2.805
_cell_length_b 2.805
_cell_length_c 9.602
_cell_angle_alpha 90.00
_cell_angle_beta 90.00
_cell_angle_gamma 90.00
loop_
_atom_site_label
_atom_site_type_symbol
_atom_site_fract_x
_atom_site_fract_y
_atom_site_fract_z
La1 La 0.000 0.000 0.000
Al1 Al 0.000 0.000 0.500
W1 W 0.500 0.500 0.292
# calculated volume = 76 Å³ per cell
# VASP energy = -8.1613 eV/atom
# formation enthalpy at 0 K = 0.48 eV per atom

---

No. 5
# LaAl4W (PBE, optimized geometry)
data_LaAl4W
_symmetry_space_group_name_H-M 'F -4 3 m'
_symmetry_Int_Tables_number 216
_symmetry_space_group_name_Hall 'F -4 2 3'
_cell_length_a 7.623
_cell_length_b 7.623
_cell_length_c 7.623
_cell_angle_alpha 90.00
_cell_angle_beta 90.00
_cell_angle_gamma 90.00
loop_
_atom_site_label
_atom_site_type_symbol
_atom_site_fract_x
_atom_site_fract_y
_atom_site_fract_z
La1 La 0.000 0.000 0.000
Al1 Al 0.124 0.124 0.376
W1 W 0.250 0.250 0.750
# calculated volume = 443 Å³ per cell
# VASP energy = -5.4562 eV/atom
# formation enthalpy at 0 K = 0.02 eV per atom

---

No. 6
# LaAl2W (PBE, optimized geometry)
data_LaAl2W
_symmetry_space_group_name_H-M 'C 1 2/m 1'
_symmetry_Int_Tables_number 12
_cell_length_a 9.127
_cell_length_b 2.910
_cell_length_c 6.336
_cell_angle_alpha 90.00
_cell_angle_beta 96.43
_cell_angle_gamma 90.00
loop_
_symmetry_equiv_pos_as_xyz
'x,y,z'
'-x,-y,-z'
'-x,y,-z'
'x,-y,z'
'x+1/2,y+1/2,z'
'-x+1/2,-y+1/2,-z'
'-x+1/2,y+1/2,-z'
'x+1/2,-y+1/2,z'
loop_
_atom_site_label
_atom_site_type_symbol
_atom_site_fract_x
_atom_site_fract_y
_atom_site_fract_z
La1 La 0.000 0.000 0.000
Al1 Al 0.239 0.000 0.679
W1 W 0.000 0.500 0.500
# calculated volume = 167 Å³ per cell
# polymorph energy (0 for the lowest one) = 119 meV per atom
# VASP energy = -6.2407 eV/atom
# formation enthalpy at 0 K = 0.10 eV per atom

---

No. 7
# LaAlW3 (PBE, optimized geometry)
data_LaAlW3
_symmetry_space_group_name_H-M 'P m -3 m'
_symmetry_Int_Tables_number 221
_symmetry_space_group_name_Hall '-P 4 2 3'
_cell_length_a 4.750
_cell_length_b 4.750
_cell_length_c 4.750
_cell_angle_alpha 90.00
_cell_angle_beta 90.00
_cell_angle_gamma 90.00
loop_
_atom_site_label
_atom_site_type_symbol
_atom_site_fract_x
_atom_site_fract_y
_atom_site_fract_z
La1 La 0.000 0.000 0.000
Al1 Al 0.500 0.500 0.500
W1 W 0.000 0.500 0.500
# calculated volume = 107 Å³ per cell
# polymorph energy (0 for the lowest one) = 0 meV per atom
# VASP energy = -8.0116 eV/atom
# formation enthalpy at 0 K = 1.49 eV per atom

---

No. 8
# LaAl2W (PBE, optimized geometry)
data_LaAl2W
_symmetry_space_group_name_H-M 'P 4 m m'
_symmetry_Int_Tables_number 99
_cell_length_a 2.914
_cell_length_b 2.914
_cell_length_c 9.219
_cell_angle_alpha 90.00
_cell_angle_beta 90.00
_cell_angle_gamma 90.00
loop_
_symmetry_equiv_pos_as_xyz
'x,y,z'
'-y,x,z'
'-x,-y,z'
'y,-x,z'
'-x,y,z'
'y,x,z'
'x,-y,z'
'-y,-x,z'
loop_
_atom_site_label
_atom_site_type_symbol
_atom_site_fract_x
_atom_site_fract_y
_atom_site_fract_z
La1 La 0.000 0.000 0.000
Al1 Al 0.000 0.000 0.491
Al2 Al 0.500 0.500 0.705
W1 W 0.500 0.500 0.287
# calculated volume = 78 Å³ per cell
# polymorph energy (0 for the lowest one) = 275 meV per atom
# VASP energy = -6.0847 eV/atom
# formation enthalpy at 0 K = 0.26 eV per atom